Record 1
A plane-wave DFT calculation with SCAN was carried out for a PBEsol-optimized structure of NiTePO2.

## Properties
formation energy (no corrections)	-0.07	eV per atom
symmetry	P4/mmm, No. 123
crystal system	tetragonal

a = 3.7907 Å, b = 3.7907 Å, c = 4.4337 Å
α = 90.00°, β = 90.00°, γ = 90.00°
With the nearest neighbours (Å) after each atom.
Fractional coordinates of all 5 atoms:
1 O 0.5000 0.0000 0.0000  2 Ni 1.90
2 O 0.0000 0.5000 0.0000  2 Ni 1.90
3 P 0.0000 0.0000 0.5000  2 Ni 2.22
4 Ni 0.0000 0.0000 0.0000  4 O 1.90
5 Te 0.5000 0.5000 0.5000  4 P 2.68, 8 O 2.92

Record 2
A plane-wave DFT calculation with SCAN was carried out for a PBEsol-optimized structure of RbGeBi3.

## Properties
DFT formation energy	0.24	eV per atom
symmetry	Pm-3m, No. 221
crystal system	cubic

a = 5.6262 Å, b = 5.6262 Å, c = 5.6262 Å
α = 90.00°, β = 90.00°, γ = 90.00°
With the nearest neighbours (Å) after each atom.
Fractional coordinates of all 5 atoms:
1 Rb 0.5000 0.5000 0.5000  12 Bi 3.98
2 Ge 0.0000 0.0000 0.0000  6 Bi 2.81
3 Bi 0.5000 0.0000 0.0000  2 Ge 2.81
4 Bi 0.0000 0.0000 0.5000  2 Ge 2.81
5 Bi 0.0000 0.5000 0.0000  2 Ge 2.81

Record 3
A plane-wave DFT calculation with SCAN was carried out for a PBEsol-optimized structure of InCu2Ru.

## Properties
DFT formation energy	0.27	eV per atom
symmetry	Pmmm, No. 47
crystal system	orthorhombic

a = 2.7065 Å, b = 3.7993 Å, c = 5.5005 Å
α = 90.00°, β = 90.00°, γ = 90.00°
With the nearest neighbours (Å) after each atom.
Fractional coordinates of all 4 atoms:
1 Cu 0.0000 0.0000 0.2731  3 Cu 2.50-2.71, 4 Ru 2.65, 4 In 2.77
2 Cu 0.0000 0.0000 0.7269  3 Cu 2.50-2.71, 4 Ru 2.65, 4 In 2.77
3 Ru 0.5000 0.5000 0.5000  8 Cu 2.65, 2 Ru 2.71, 2 In 2.75
4 In 0.5000 0.5000 0.0000  2 In 2.71, 2 Ru 2.75, 8 Cu 2.77

Record 4
A plane-wave DFT calculation with SCAN was carried out for a PBEsol-optimized structure of CoAg2W.

## Properties
DFT formation energy	0.69	eV per atom
symmetry	Pmmm, No. 47
crystal system	orthorhombic

a = 2.7264 Å, b = 4.5044 Å, c = 4.8385 Å
α = 90.00°, β = 90.00°, γ = 90.00°
With the nearest neighbours (Å) after each atom.
Fractional coordinates of all 4 atoms:
1 W 0.0000 0.5000 0.5000  4 Co 2.63, 2 W 2.73, 4 Ag 2.78
2 Ag 0.0000 0.0000 0.0000  6 Ag 2.63-2.73, 4 Co 2.78
3 Ag 0.5000 0.5000 0.0000  6 Ag 2.63-2.73, 4 W 2.78
4 Co 0.5000 0.0000 0.5000  4 W 2.63, 2 Co 2.73, 4 Ag 2.78